Compound: Cs3LiB
Source: the Alexandria database
Functional: PBE-GGA
Structure: optimized geometry

E = -0.038 hartree per atom
formation energy from the elements = 1.19 eV/atom
Fermi-level density of states = 2.02 states/eV per atom

a b c (Å): 7.247 7.247 7.247
angles (deg): 90.00 90.00 90.00
Sites, in units of the cell vectors:
Cs (0.000, 0.000, 0.500)
Li (0.000, 0.000, 0.000)
Cs (0.500, 0.000, 0.000)
B (0.500, 0.500, 0.500)
Cs (0.000, 0.500, 0.000)